LiMgMo4 | meta-GGA SCAN | PBEsol geometry

ΔE_f: 0.521 eV/atom
space-group type: F-43m
total magnetic moment: 0.0 Bohr magnetons per cell

Unit cell a=5.2300 b=5.2300 c=5.2300 alpha=60.00 beta=60.00 gamma=60.00
Closest atoms and distances in Å follow each position.
Sites, in units of the cell vectors:
Li: 0.7500 0.7500 0.7500  12 Mo 3.06, 4 Mg 3.20
Mg: 0.0000 0.0000 0.0000  12 Mo 3.07, 4 Li 3.20
Mo: 0.3757 0.3757 0.3757  6 Mo 2.60-2.63
Mo: 0.3757 0.3757 0.8729  6 Mo 2.60-2.63
Mo: 0.8729 0.3757 0.3757  6 Mo 2.60-2.63
Mo: 0.3757 0.8729 0.3757  6 Mo 2.60-2.63


Li2MgMo | meta-GGA SCAN | PBEsol geometry

ΔE_f: 0.629 eV/atom
space-group type: F-43m
total magnetic moment: 3.0 Bohr magnetons per cell

Unit cell a=4.5769 b=4.5769 c=4.5769 alpha=60.00 beta=60.00 gamma=60.00
Closest atoms and distances in Å follow each position.
Sites, in units of the cell vectors:
Li: 0.0000 0.0000 0.0000  4 Mo 2.80, 4 Li 2.80
Li: 0.7500 0.7500 0.7500  4 Mg 2.80, 4 Li 2.80
Mg: 0.5000 0.5000 0.5000  4 Li 2.80, 4 Mo 2.80
Mo: 0.2500 0.2500 0.2500  4 Li 2.80, 4 Mg 2.80


LiMgMo2 | meta-GGA SCAN | PBEsol geometry

ΔE_f: 0.361 eV/atom
space-group type: P4/mmm
total magnetic moment: 0.0 Bohr magnetons per cell

Unit cell a=3.6309 b=3.6309 c=4.6962 alpha=90.00 beta=90.00 gamma=90.00
Closest atoms and distances in Å follow each position.
Sites, in units of the cell vectors:
Li: 0.5000 0.5000 0.5000  4 Mg 2.57
Mg: 0.0000 0.0000 0.5000  4 Li 2.57
Mo: 0.0000 0.5000 0.0000  4 Mo 2.57
Mo: 0.5000 0.0000 0.0000  4 Mo 2.57


LiMg2Mo | meta-GGA SCAN | PBEsol geometry

ΔE_f: 0.393 eV/atom
space-group type: Imm2
total magnetic moment: 0.0 Bohr magnetons per cell

Unit cell a=2.7600 b=4.9696 c=5.7733 alpha=115.49 beta=103.83 gamma=90.00
Closest atoms and distances in Å follow each position.
Sites, in units of the cell vectors:
Li: 0.2490 0.7490 0.4979  2 Li 2.76, 6 Mg 2.81-2.84, 2 Mo 2.82
Mg: 0.9921 0.9921 0.9841  4 Mg 2.76-2.98, 2 Li 2.81, 4 Mo 2.84
Mg: 0.7547 0.2547 0.5095  4 Mg 2.76-2.98, 4 Li 2.84, 2 Mo 2.86
Mo: 0.5043 0.5043 0.0085  2 Mo 2.76, 2 Li 2.82, 6 Mg 2.84-2.86


LiMg2Mo | meta-GGA SCAN | PBEsol geometry

ΔE_f: 0.184 eV/atom
space-group type: Cmmm
total magnetic moment: 0.2 Bohr magnetons per cell

Unit cell a=2.7642 b=2.7642 c=9.4771 alpha=90.00 beta=90.00 gamma=101.21
Closest atoms and distances in Å follow each position.
Sites, in units of the cell vectors:
Li: 0.5000 0.5000 0.0000  4 Li 2.76, 4 Mg 3.05
Mg: 0.0000 0.0000 0.2628  4 Mg 2.76, 2 Mo 2.85, 2 Li 3.05
Mg: 0.0000 0.0000 0.7372  4 Mg 2.76, 2 Mo 2.85, 2 Li 3.05
Mo: 0.5000 0.5000 0.5000  4 Mo 2.76, 4 Mg 2.85


Li2MgMoPd | meta-GGA SCAN | PBEsol geometry

ΔE_f: 0.939 eV/atom
space-group type: P4/mmm
total magnetic moment: 4.3 Bohr magnetons per cell

Unit cell a=4.4203 b=4.4203 c=4.6469 alpha=90.00 beta=90.00 gamma=90.00
Closest atoms and distances in Å follow each position.
Sites, in units of the cell vectors:
Mo: 0.5000 0.5000 0.5000  4 Pd 3.13, 8 Li 3.21
Mg: 0.0000 0.0000 0.0000  4 Li 2.21, 2 Pd 2.32
Pd: 0.0000 0.0000 0.5000  2 Mg 2.32
Li: 0.0000 0.5000 0.0000  2 Mg 2.21
Li: 0.5000 0.0000 0.0000  2 Mg 2.21


Li2MgN | meta-GGA SCAN | PBEsol geometry

uncorrected formation energy: 0.2189 eV/atom
space-group type: I4_1/amd
total magnetic moment: 0.0 Bohr magnetons per cell

Unit cell a=5.2808 b=6.0685 c=5.2808 alpha=64.21 beta=90.00 gamma=115.79
Closest atoms and distances in Å follow each position.
Sites, in units of the cell vectors:
Mg: 0.0000 0.0000 0.0000  8 Li 3.19, 4 N 3.56, 4 Mg 3.56
Mg: 0.7500 0.5000 0.7500  8 Li 3.19, 4 Mg 3.56, 4 N 3.56
Li: 0.3750 0.2500 0.3750  2 N 1.78
Li: 0.8750 0.2500 0.3750  2 N 1.78
Li: 0.3750 0.7500 0.3750  2 N 1.78
Li: 0.3750 0.7500 0.8750  2 N 1.78
N: 0.5000 0.0000 0.5000  4 Li 1.78
N: 0.2500 0.5000 0.2500  4 Li 1.78


Li2MgZnN | meta-GGA SCAN | PBEsol geometry

uncorrected formation energy: 1.3649 eV/atom
space-group type: P4/mmm
total magnetic moment: 1.3 Bohr magnetons per cell

Unit cell a=4.8372 b=5.1045 c=5.1045 alpha=90.00 beta=90.00 gamma=90.00
Closest atoms and distances in Å follow each position.
Sites, in units of the cell vectors:
Zn: 0.5000 0.0000 0.0000  2 Mg 2.42
Li: 0.0000 0.0000 0.5000  2 Mg 2.55
Li: 0.0000 0.5000 0.0000  2 Mg 2.55
Mg: 0.0000 0.0000 0.0000  2 Zn 2.42, 4 Li 2.55
N: 0.5000 0.5000 0.5000  8 Li 3.52, 4 Zn 3.61


Across the entries above, VASP energy takes the values -23.963, -10.531, -18.922, -11.412, -11.621, -14.544, -4.542, -5.147 eV/atom, respectively.